Entry 1:
# Rb6PuBr8 GGA-PBE optimized geometry
# ΔE_f (raw) ... -24.72 eV per formula unit
# SG ... R-3
# Final energy ... -3.88 eV/atom
data_Rb6PuBr8
_space_group_name_H-M_alt 'P 1'
_space_group_IT_number 1
_cell_length_a 9.0250
_cell_length_b 9.0250
_cell_length_c 9.0250
_cell_angle_alpha 68.90
_cell_angle_beta 68.90
_cell_angle_gamma 68.90
loop_
_space_group_symop_operation_xyz
'x,y,z'
loop_
_atom_site_label
_atom_site_type_symbol
_atom_site_fract_x
_atom_site_fract_y
_atom_site_fract_z
Rb1 Rb 0.0145 0.8060 0.4379
Rb2 Rb 0.1940 0.5621 0.9855
Rb3 Rb 0.4379 0.0145 0.8060
Rb4 Rb 0.5621 0.9855 0.1940
Rb5 Rb 0.8060 0.4379 0.0145
Rb6 Rb 0.9855 0.1940 0.5621
Pu1 Pu 0.5000 0.5000 0.5000
Br1 Br 0.1594 0.1594 0.1594
Br2 Br 0.1770 0.4051 0.6655
Br3 Br 0.3345 0.8230 0.5949
Br4 Br 0.4051 0.6655 0.1770
Br5 Br 0.5949 0.3345 0.8230
Br6 Br 0.6655 0.1770 0.4051
Br7 Br 0.8230 0.5949 0.3345
Br8 Br 0.8406 0.8406 0.8406

---

Entry 2:
# Ba2NaPb2 GGA-PBE optimized geometry
# Calculated formation energy ... -0.7 eV/f.u.
# SG ... I4/mmm
# Offset from the most stable computed form ... 300.1 meV per atom
# Final energy ... -2.65 eV/atom
data_Ba2NaPb2
_space_group_name_H-M_alt 'P 1'
_space_group_IT_number 1
_cell_length_a 11.0269
_cell_length_b 11.0269
_cell_length_c 11.0269
_cell_angle_alpha 155.35
_cell_angle_beta 155.35
_cell_angle_gamma 35.14
loop_
_space_group_symop_operation_xyz
'x,y,z'
loop_
_atom_site_label
_atom_site_type_symbol
_atom_site_fract_x
_atom_site_fract_y
_atom_site_fract_z
Ba1 Ba 0.1188 0.1188 0.0000
Ba2 Ba 0.8812 0.8812 0.0000
Na1 Na 0.5000 0.5000 0.0000
Pb1 Pb 0.2500 0.7500 0.5000
Pb2 Pb 0.7500 0.2500 0.5000